VASP calculation (PBEsol) on an optimized crystal structure of OsPt2Au.

Geometry as CIF:
```
data_OsPt2Au
_chemical_formula_sum 'Os2 Pt4 Au2'
_symmetry_space_group_name_H-M 'C 1 m 1'
_symmetry_Int_Tables_number 8
_symmetry_space_group_name_Hall 'C -2y'
_cell_length_a 9.1305
_cell_length_b 2.7545
_cell_length_c 4.8803
_cell_angle_alpha 90.00
_cell_angle_beta 99.33
_cell_angle_gamma 90.00
loop_
_atom_site_label
_atom_site_type_symbol
_atom_site_fract_x
_atom_site_fract_y
_atom_site_fract_z
Os1 Os 0.0000 0.0000 0.0000
Pt1 Pt 0.0075 0.5000 0.5187
Pt2 Pt 0.2604 0.0000 0.7827
Au1 Au 0.2509 0.5000 0.2708
```

Values from the calculation:
The energy above the most stable polymorph in this dataset comes out at 0.0 kJ/mol of atoms. The calculation puts the magnetic moment at 0.00 μB per formula unit. Its formation energy from the elements is 0.246 eV per atom.